# 1
Computed, not measured: LaNi3P3 after structural relaxation at the PBE-GGA level of DFT.

Lattice parameters (Å, degrees): 6.161 6.161 6.161 90.00 90.00 90.00
Space group Pm-3n (No. 223)
Inequivalent atoms, fractional coordinates:
La1 0.000 0.000 0.000
Ni1 0.000 0.250 0.500
P1 0.000 0.500 0.250

Values from the calculation:
- Energy: -87.415 eV for the cell shown
- Distance to the lowest polymorph of the same formula: 0.000 eV per atom
- Formation enthalpy at 0 K: -743.8 meV/atom


# 2
Computed, not measured: DyEr2Pb3 after structural relaxation at the PBE-GGA level of DFT.

Lattice parameters (Å, degrees): 9.730 11.635 6.350 90.00 90.00 90.00
Space group Cmc2_1 (No. 36)
Inequivalent atoms, fractional coordinates:
Dy1 0.000 0.133 0.000
Er1 0.181 0.368 0.762
Pb1 0.000 0.153 0.502
Pb2 0.175 0.368 0.256

Values from the calculation:
- Energy: -105.798 eV for the cell shown
- Distance to the lowest polymorph of the same formula: 0.212 eV per atom
- Formation enthalpy at 0 K: -266.1 meV/atom